No. 1
Entry from the Alexandria database: a relaxed Pm3BiTe2 crystal (PBE-GGA).

The structure in POSCAR format:
```
Pm3BiTe2
1.0
6.368 0.000 0.000
0.000 6.031 -2.043
0.000 0.053 10.077
Pm Bi Te
6 2 4
Direct
0.500 0.333 0.666 Pm
0.000 0.834 0.667 Pm
0.500 0.667 0.334 Pm
0.000 0.166 0.333 Pm
0.000 0.500 0.000 Pm
0.500 0.000 0.000 Pm
0.000 0.333 0.667 Bi
0.000 0.667 0.333 Bi
0.500 0.834 0.667 Te
0.500 0.166 0.333 Te
0.000 0.000 0.000 Te
0.500 0.500 0.000 Te
```

Calculated values
Its space group is No. 65. For the total magnetization, the calculation gives 0.0 μB per formula unit. The energy above the most stable polymorph in this dataset comes out at 0 meV per atom. The energy comes out at -64.112 eV for the cell shown. Its density of states at the Fermi level is 2.54 states/eV/f.u. The calculation puts the energy relative to the elements, uncorrected at -1273 meV per atom.


No. 2
Entry from the Alexandria database: a relaxed Pm6Bi5Te crystal (PBE-GGA).

The structure in POSCAR format:
```
Pm6Bi5Te
1.0
-7.394 -0.941 -2.620
6.083 -2.498 -4.378
0.103 -5.504 5.660
Te Bi Pm
1 5 6
Direct
0.000 0.000 0.000 Te
0.833 0.167 0.500 Bi
0.667 0.333 0.000 Bi
0.500 0.500 0.500 Bi
0.333 0.667 0.000 Bi
0.167 0.833 0.500 Bi
0.418 0.084 0.251 Pm
0.916 0.582 0.749 Pm
0.250 0.250 0.748 Pm
0.750 0.750 0.252 Pm
0.084 0.418 0.251 Pm
0.582 0.916 0.749 Pm
```

Calculated values
Its space group is No. 12. For the total magnetization, the calculation gives 0.0 μB per formula unit. The energy comes out at -63.516 eV for the cell shown. Its density of states at the Fermi level is 3.35 states/eV/f.u. The calculation puts the energy relative to the elements, uncorrected at -1039 meV per atom.